DFT (PBE-GGA) results for a relaxed Pu6Cd crystal.

The formation energy is 0.3539 eV per atom. The value obtained for the size of the total moment is 0.0 μB/cell.

The structure in extended XYZ format:
```
7
Lattice="-3.346 3.346 3.346 3.346 -3.346 3.346 3.346 3.346 -3.346" Properties=species:S:1:pos:R:3 pbc="T T T"
Pu 3.346 1.673 0.000
Pu 3.346 0.000 1.673
Pu 1.673 3.346 0.000
Pu 1.673 0.000 3.346
Pu 0.000 3.346 1.673
Pu 0.000 1.673 3.346
Cd 0.000 0.000 0.000
```